No. 1
First-principles (PBE-GGA) data for Ba3US6 after structural relaxation, as listed in the Alexandria database.

```
data_Ba3US6
_chemical_formula_sum 'Ba18 U6 S36'
_cell_length_a 12.5733
_cell_length_b 12.5733
_cell_length_c 14.7630
_cell_angle_alpha 90.00
_cell_angle_beta 90.00
_cell_angle_gamma 120.00
_symmetry_space_group_name_H-M 'R -3'
_symmetry_Int_Tables_number 148
_symmetry_space_group_name_Hall '-R 3'
loop_
_atom_site_label
_atom_site_fract_x
_atom_site_fract_y
_atom_site_fract_z
_atom_site_occupancy
Ba1 0.0468 0.2717 0.2014 1
U1 0.0000 0.0000 0.0000 1
U2 0.0000 0.0000 0.5000 1
S1 0.0238 0.1827 0.4046 1
S2 0.0302 0.1794 0.8992 1
```

Values from the calculation:
Calculated density in g/cm3: 4.15
Offset from the most stable computed form in meV per atom: 26.9
ΔE_f (raw) in meV/atom: -1760
Calculated volume in A^3/atom: 33.7

No. 2
First-principles (PBE-GGA) data for BaUS3 after structural relaxation, as listed in the Alexandria database.

```
data_BaUS3
_chemical_formula_sum 'Ba2 U2 S6'
_cell_length_a 4.268
_cell_length_b 6.730
_cell_length_c 9.196
_cell_angle_alpha 90.00
_cell_angle_beta 90.00
_cell_angle_gamma 90.00
_symmetry_space_group_name_H-M 'P m m n'
_symmetry_Int_Tables_number 59
loop_
_symmetry_equiv_pos_as_xyz
'x,y,z'
'-x,-y,-z'
'-x+1/2,-y+1/2,z'
'x+1/2,y+1/2,-z'
'x+1/2,-y,-z'
'-x+1/2,y,z'
'-x,y+1/2,-z'
'x,-y+1/2,z'
loop_
_atom_site_label
_atom_site_fract_x
_atom_site_fract_y
_atom_site_fract_z
_atom_site_occupancy
Ba1 0.250 0.250 0.138 1
U1 0.250 0.750 0.397 1
S1 0.250 0.507 0.642 1
S2 0.250 0.750 0.105 1
```

Values from the calculation:
Calculated density in g/cm3: 5.93
ΔE_f (raw) in meV/atom: -1679
Calculated volume in A^3/atom: 26.4

No. 3
First-principles (PBE-GGA) data for BaUVS6 after structural relaxation, as listed in the Alexandria database.

```
data_BaUVS6
_chemical_formula_sum 'Ba1 U1 V1 S6'
_cell_length_a 6.4269
_cell_length_b 6.4269
_cell_length_c 6.9254
_cell_angle_alpha 90.00
_cell_angle_beta 90.00
_cell_angle_gamma 120.00
_symmetry_space_group_name_H-M 'P 3 1 2'
_symmetry_Int_Tables_number 149
loop_
_symmetry_equiv_pos_as_xyz
'x,y,z'
'-y,x-y,z'
'-x+y,-x,z'
'-y,-x,-z'
'-x+y,y,-z'
'x,x-y,-z'
loop_
_atom_site_label
_atom_site_fract_x
_atom_site_fract_y
_atom_site_fract_z
_atom_site_occupancy
Ba1 0.0000 0.0000 0.0000 1
U1 0.6667 0.3333 0.5000 1
V1 0.3333 0.6667 0.5000 1
S1 0.0189 0.3931 0.7089 1
```

Values from the calculation:
Calculated density in g/cm3: 4.15
ΔE_f (raw) in meV/atom: -1201
Calculated volume in A^3/atom: 27.5

No. 4
First-principles (PBE-GGA) data for Ba2UVS6 after structural relaxation, as listed in the Alexandria database.

```
data_Ba2UVS6
_chemical_formula_sum 'Ba8 U4 V4 S24'
_cell_length_a 9.935
_cell_length_b 9.935
_cell_length_c 9.935
_cell_angle_alpha 90.00
_cell_angle_beta 90.00
_cell_angle_gamma 90.00
_symmetry_space_group_name_H-M 'F m -3 m'
_symmetry_Int_Tables_number 225
_symmetry_space_group_name_Hall '-F 4 2 3'
loop_
_atom_site_label
_atom_site_fract_x
_atom_site_fract_y
_atom_site_fract_z
_atom_site_occupancy
Ba1 0.250 0.250 0.250 1
U1 0.000 0.000 0.000 1
V1 0.000 0.000 0.500 1
S1 0.000 0.000 0.258 1
```

Values from the calculation:
Calculated density in g/cm3: 5.12
ΔE_f (raw) in meV/atom: -1571
Calculated volume in A^3/atom: 24.5

No. 5
First-principles (PBE-GGA) data for Ba3U2VS9 after structural relaxation, as listed in the Alexandria database.

```
data_Ba3U2VS9
_chemical_formula_sum 'Ba3 U2 V1 S9'
_cell_length_a 7.1411
_cell_length_b 7.1411
_cell_length_c 8.7828
_cell_angle_alpha 90.00
_cell_angle_beta 90.00
_cell_angle_gamma 120.00
_symmetry_space_group_name_H-M 'P -3 m 1'
_symmetry_Int_Tables_number 164
_symmetry_space_group_name_Hall '-P 3 2"'
loop_
_atom_site_label
_atom_site_fract_x
_atom_site_fract_y
_atom_site_fract_z
_atom_site_occupancy
Ba1 0.0000 0.0000 0.0000 1
Ba2 0.3333 0.6667 0.6642 1
U1 0.3333 0.6667 0.1857 1
V1 0.0000 0.0000 0.5000 1
S1 0.0000 0.5000 0.0000 1
S2 0.1593 0.3187 0.3408 1
```

Values from the calculation:
Calculated density in g/cm3: 5.26
ΔE_f (raw) in meV/atom: -1620
Calculated volume in A^3/atom: 25.9

No. 6
First-principles (PBE-GGA) data for BaY2US8 after structural relaxation, as listed in the Alexandria database.

```
data_BaY2US8
_chemical_formula_sum 'Ba1 Y2 U1 S8'
_cell_length_a 5.181
_cell_length_b 6.914
_cell_length_c 8.439
_cell_angle_alpha 89.49
_cell_angle_beta 72.61
_cell_angle_gamma 87.48
_symmetry_space_group_name_H-M 'P -1'
_symmetry_Int_Tables_number 2
loop_
_symmetry_equiv_pos_as_xyz
'x,y,z'
'-x,-y,-z'
loop_
_atom_site_label
_atom_site_fract_x
_atom_site_fract_y
_atom_site_fract_z
_atom_site_occupancy
Ba1 0.000 0.000 0.000 1
Y1 0.381 0.548 0.307 1
U1 0.000 0.000 0.500 1
S1 0.166 0.326 0.593 1
S2 0.200 0.465 0.005 1
S3 0.235 0.770 0.642 1
S4 0.373 0.934 0.228 1
```

Values from the calculation:
Calculated density in g/cm3: 4.67
ΔE_f (raw) in meV/atom: -1512
Calculated volume in A^3/atom: 24.0

No. 7
First-principles (PBE-GGA) data for BaUZnS4 after structural relaxation, as listed in the Alexandria database.

```
data_BaUZnS4
_chemical_formula_sum 'Ba2 U2 Zn2 S8'
_cell_length_a 6.468
_cell_length_b 6.649
_cell_length_c 8.561
_cell_angle_alpha 90.00
_cell_angle_beta 108.37
_cell_angle_gamma 90.00
_symmetry_space_group_name_H-M 'P 1 21/m 1'
_symmetry_Int_Tables_number 11
loop_
_symmetry_equiv_pos_as_xyz
'x,y,z'
'-x,-y,-z'
'-x,y+1/2,-z'
'x,-y+1/2,z'
loop_
_atom_site_label
_atom_site_fract_x
_atom_site_fract_y
_atom_site_fract_z
_atom_site_occupancy
Ba1 0.249 0.250 0.058 1
U1 0.219 0.250 0.553 1
Zn1 0.235 0.750 0.328 1
S1 0.020 0.511 0.713 1
S2 0.437 0.750 0.151 1
S3 0.472 0.750 0.590 1
```

Values from the calculation:
Calculated density in g/cm3: 5.41
ΔE_f (raw) in meV/atom: -1357
Calculated volume in A^3/atom: 25.0

No. 8
First-principles (PBE-GGA) data for Ba2ZrUS6 after structural relaxation, as listed in the Alexandria database.

```
data_Ba2ZrUS6
_chemical_formula_sum 'Ba2 Zr1 U1 S6'
_cell_length_a 5.142
_cell_length_b 5.142
_cell_length_c 10.296
_cell_angle_alpha 90.00
_cell_angle_beta 90.00
_cell_angle_gamma 90.00
_symmetry_space_group_name_H-M 'P 4/m m m'
_symmetry_Int_Tables_number 123
_symmetry_space_group_name_Hall '-P 4 2'
loop_
_atom_site_label
_atom_site_fract_x
_atom_site_fract_y
_atom_site_fract_z
_atom_site_occupancy
Ba1 0.000 0.000 0.231 1
Zr1 0.500 0.500 0.000 1
U1 0.500 0.500 0.500 1
S1 0.000 0.500 0.000 1
S2 0.000 0.500 0.500 1
S3 0.500 0.500 0.246 1
```

Values from the calculation:
Calculated density in g/cm3: 4.86
ΔE_f (raw) in meV/atom: -1714
Calculated volume in A^3/atom: 27.2

Number 5 is which compound?
Ba3U2VS9

Which of these has the highest calculated volume?
Ba3US6

Look up the ΔE_f (raw) of the first one.
-1760 meV/atom

Please write out number 2 again, unchanged.
First-principles (PBE-GGA) data for BaUS3 after structural relaxation, as listed in the Alexandria database.

```
data_BaUS3
_chemical_formula_sum 'Ba2 U2 S6'
_cell_length_a 4.268
_cell_length_b 6.730
_cell_length_c 9.196
_cell_angle_alpha 90.00
_cell_angle_beta 90.00
_cell_angle_gamma 90.00
_symmetry_space_group_name_H-M 'P m m n'
_symmetry_Int_Tables_number 59
loop_
_symmetry_equiv_pos_as_xyz
'x,y,z'
'-x,-y,-z'
'-x+1/2,-y+1/2,z'
'x+1/2,y+1/2,-z'
'x+1/2,-y,-z'
'-x+1/2,y,z'
'-x,y+1/2,-z'
'x,-y+1/2,z'
loop_
_atom_site_label
_atom_site_fract_x
_atom_site_fract_y
_atom_site_fract_z
_atom_site_occupancy
Ba1 0.250 0.250 0.138 1
U1 0.250 0.750 0.397 1
S1 0.250 0.507 0.642 1
S2 0.250 0.750 0.105 1
```

Values from the calculation:
Calculated density in g/cm3: 5.93
ΔE_f (raw) in meV/atom: -1679
Calculated volume in A^3/atom: 26.4